First-principles (PBE-GGA) data for an optimized crystal structure of Nd4Sm3ThS8, as listed in Alexandria via LeMat-Bulk.

Cell: 8.089 8.087 8.088 Å, 120.00 120.00 90.00°
Fractional coordinates of all 16 atoms:
Sm 0.000 0.500 0.500
Sm 0.500 0.500 0.000
Sm 0.500 0.500 0.500
Nd 0.500 0.000 0.000
Nd 0.500 0.000 0.500
Nd 0.000 0.000 0.000
Nd 0.000 0.000 0.500
S 0.249 0.745 0.497
S 0.751 0.255 0.503
S 0.252 0.256 0.504
S 0.748 0.744 0.496
S 0.253 0.255 0.004
S 0.751 0.255 0.004
S 0.249 0.745 0.996
S 0.747 0.745 0.996
Th 0.000 0.500 0.000

raw formation energy = -1996 meV/atom

=====

First-principles (PBE-GGA) data for an optimized crystal structure of Pr2SeBr3, as listed in Alexandria via LeMat-Bulk.

Cell: 4.335 9.145 10.986 Å, 78.61 78.62 76.29°
Fractional coordinates of all 12 atoms:
Pr 0.152 0.559 0.138
Pr 0.848 0.441 0.862
Pr 0.395 0.760 0.450
Pr 0.605 0.240 0.550
Br 0.947 0.852 0.254
Br 0.354 0.267 0.025
Br 0.241 0.129 0.389
Br 0.053 0.148 0.746
Br 0.759 0.871 0.611
Br 0.646 0.733 0.975
Se 0.407 0.515 0.671
Se 0.593 0.485 0.329

raw formation energy = -1756 meV/atom

=====

First-principles (PBE-GGA) data for an optimized crystal structure of Tc3SnN, as listed in Alexandria via LeMat-Bulk.

Cell: 7.666 7.666 7.666 Å, 60.00 60.00 60.00°
Fractional coordinates of all 20 atoms:
Tc 0.807 0.193 0.807
Tc 0.057 0.443 0.443
Tc 0.807 0.807 0.193
Tc 0.193 0.193 0.807
Tc 0.443 0.057 0.057
Tc 0.057 0.057 0.443
Tc 0.057 0.443 0.057
Tc 0.443 0.443 0.057
Tc 0.193 0.807 0.807
Tc 0.807 0.193 0.193
Tc 0.193 0.807 0.193
Tc 0.443 0.057 0.443
Sn 0.625 0.125 0.625
Sn 0.625 0.625 0.125
Sn 0.125 0.625 0.625
Sn 0.625 0.625 0.625
N 0.125 0.625 0.125
N 0.625 0.125 0.125
N 0.125 0.125 0.625
N 0.125 0.125 0.125

distance to the lowest polymorph of the same formula = 12.8 kJ/mol of atoms
raw formation energy = 175 meV/atom

=====

First-principles (PBE-GGA) data for an optimized crystal structure of CsHg2Se2O6, as listed in Alexandria via LeMat-Bulk.

Cell: 5.174 9.219 5.933 Å, 116.04 103.22 70.32°
Fractional coordinates of all 11 atoms:
O 0.564 0.775 0.881
O 0.436 0.225 0.119
O 0.737 0.445 0.295
O 0.263 0.555 0.705
O 0.130 0.784 0.513
O 0.870 0.216 0.487
Se 0.223 0.768 0.803
Se 0.777 0.232 0.197
Hg 0.842 0.497 0.773
Hg 0.158 0.503 0.227
Cs 0.500 0.000 0.500

raw formation energy = -788 meV/atom

=====

First-principles (PBE-GGA) data for an optimized crystal structure of LiY2Rh, as listed in Alexandria via LeMat-Bulk.

Cell: 4.952 4.953 4.953 Å, 90.09 119.99 119.99°
Fractional coordinates of all 4 atoms:
Li 0.500 0.750 0.250
Rh 0.500 0.250 0.750
Y 0.000 0.000 0.000
Y 0.000 0.500 0.500

calculated formation energy = -0.4755 eV per atom

=====

First-principles (PBE-GGA) data for an optimized crystal structure of AcAl9Co2, as listed in Alexandria via LeMat-Bulk.

Cell: 3.950 7.863 7.863 Å, 120.00 90.00 90.00°
Fractional coordinates of all 12 atoms:
Al 0.000 0.500 0.500
Al 0.500 0.786 0.572
Al 0.500 0.214 0.786
Al 0.000 0.500 0.000
Al 0.500 0.786 0.214
Al 0.500 0.214 0.428
Al 0.000 0.000 0.500
Al 0.500 0.428 0.214
Al 0.500 0.572 0.786
Co 0.000 0.333 0.667
Co 0.000 0.667 0.333
Ac 0.000 0.000 0.000

calculated formation energy = -0.4295 eV per atom
distance to the lowest polymorph of the same formula = 0.0 kJ/mol of atoms

=====

First-principles (PBE-GGA) data for an optimized crystal structure of Cr2CuOs, as listed in Alexandria via LeMat-Bulk.

Cell: 4.513 4.513 4.513 Å, 131.98 131.99 70.27°
Fractional coordinates of all 4 atoms:
Os 0.250 0.750 0.500
Cr 0.000 0.000 0.000
Cr 0.500 0.500 0.000
Cu 0.750 0.250 0.500

calculated formation energy = 0.2273 eV per atom

=====

First-principles (PBE-GGA) data for an optimized crystal structure of Pb6Se3S2Cl, as listed in Alexandria via LeMat-Bulk.

Cell: 4.311 8.803 9.602 Å, 99.74 102.97 90.00°
Fractional coordinates of all 12 atoms:
Pb 0.328 0.418 0.656
Pb 0.006 0.263 0.012
Pb 0.994 0.737 0.988
Pb 0.674 0.097 0.348
Pb 0.672 0.582 0.344
Pb 0.326 0.903 0.652
S 0.833 0.664 0.667
S 0.167 0.336 0.333
Se 0.500 0.500 0.000
Se 0.165 0.835 0.331
Se 0.835 0.165 0.669
Cl 0.500 0.000 0.000

raw formation energy = -553 meV/atom

=====

First-principles (PBE-GGA) data for an optimized crystal structure of Ba2Sb4Pd3Au, as listed in Alexandria via LeMat-Bulk.

Cell: 4.847 4.847 10.861 Å, 90.00 90.00 90.00°
Fractional coordinates of all 10 atoms:
Sb 0.000 0.500 0.369
Sb 0.500 0.000 0.631
Sb 0.000 0.000 0.000
Sb 0.500 0.500 0.000
Pd 0.000 0.500 0.120
Pd 0.000 0.000 0.500
Pd 0.500 0.000 0.880
Au 0.500 0.500 0.500
Ba 0.000 0.500 0.745
Ba 0.500 0.000 0.255

raw formation energy = -755 meV/atom

=====

First-principles (PBE-GGA) data for an optimized crystal structure of Nd6Ho5, as listed in Alexandria via LeMat-Bulk.

Cell: 10.310 8.455 6.088 Å, 73.89 62.93 52.44°
Fractional coordinates of all 11 atoms:
Nd 0.675 0.279 0.111
Nd 0.184 0.000 0.410
Nd 0.954 0.721 0.111
Nd 0.325 0.721 0.889
Nd 0.816 0.000 0.590
Nd 0.046 0.279 0.889
Ho 0.370 0.260 0.000
Ho 0.233 0.533 0.500
Ho 0.630 0.740 0.000
Ho 0.767 0.467 0.500
Ho 0.500 0.000 0.500

calculated formation energy = 0.1229 eV per atom

=====

First-principles (PBE-GGA) data for an optimized crystal structure of Sr2Li2In, as listed in Alexandria via LeMat-Bulk.

Cell: 7.900 7.900 5.055 Å, 90.00 90.00 90.00°
Fractional coordinates of all 10 atoms:
Li 0.627 0.127 0.000
Li 0.373 0.873 0.000
Li 0.127 0.373 0.000
Li 0.873 0.627 0.000
In 0.000 0.000 0.000
In 0.500 0.500 0.000
Sr 0.810 0.310 0.500
Sr 0.690 0.810 0.500
Sr 0.310 0.190 0.500
Sr 0.190 0.690 0.500

calculated formation energy = -0.1259 eV per atom
distance to the lowest polymorph of the same formula = 8.2 kJ/mol of atoms

=====

First-principles (PBE-GGA) data for an optimized crystal structure of Mn2AgSnCl8, as listed in Alexandria via LeMat-Bulk.

Cell: 6.348 6.160 7.654 Å, 90.00 90.00 88.70°
Fractional coordinates of all 12 atoms:
Cl 0.333 0.297 0.000
Cl 0.667 0.704 0.500
Cl 0.797 0.240 0.752
Cl 0.667 0.703 0.000
Cl 0.333 0.296 0.500
Cl 0.203 0.760 0.248
Cl 0.203 0.760 0.752
Cl 0.797 0.240 0.248
Ag 0.000 0.000 0.000
Mn 0.500 0.500 0.241
Mn 0.500 0.500 0.759
Sn 0.000 0.000 0.500

raw formation energy = -887 meV/atom

=====

First-principles (PBE-GGA) data for an optimized crystal structure of TlFe4, as listed in Alexandria via LeMat-Bulk.

Cell: 5.526 5.526 5.526 Å, 139.82 139.82 58.13°
Fractional coordinates of all 5 atoms:
Tl 0.000 0.000 0.000
Fe 0.750 0.250 0.500
Fe 0.389 0.389 0.000
Fe 0.611 0.611 0.000
Fe 0.250 0.750 0.500

calculated formation energy = 0.5677 eV per atom
distance to the lowest polymorph of the same formula = 0.0 kJ/mol of atoms

=====

First-principles (PBE-GGA) data for an optimized crystal structure of Li2FeAs2, as listed in Alexandria via LeMat-Bulk.

Cell: 7.024 7.024 2.838 Å, 90.00 90.00 90.00°
Fractional coordinates of all 10 atoms:
As 0.312 0.188 0.500
As 0.188 0.688 0.500
As 0.812 0.312 0.500
As 0.688 0.812 0.500
Fe 0.000 0.000 0.000
Fe 0.500 0.500 0.000
Li 0.887 0.613 0.000
Li 0.613 0.113 0.000
Li 0.387 0.887 0.000
Li 0.113 0.387 0.000

calculated formation energy = 0.1478 eV per atom
distance to the lowest polymorph of the same formula = 53.8 kJ/mol of atoms

=====

First-principles (PBE-GGA) data for an optimized crystal structure of BeIr, as listed in Alexandria via LeMat-Bulk.

Cell: 4.488 4.488 5.960 Å, 80.75 80.75 35.68°
Fractional coordinates of all 6 atoms:
Be 0.293 0.293 0.366
Be 0.389 0.389 0.735
Be 0.044 0.044 0.972
Ir 0.664 0.664 0.661
Ir 0.768 0.768 0.060
Ir 0.009 0.009 0.372

calculated formation energy = -0.3724 eV per atom

=====

First-principles (PBE-GGA) data for an optimized crystal structure of AlGeNO2, as listed in Alexandria via LeMat-Bulk.

Cell: 3.623 3.623 3.966 Å, 90.00 90.00 90.00°
Fractional coordinates of all 5 atoms:
Ge 0.000 0.000 0.000
N 0.000 0.000 0.500
O 0.000 0.500 0.000
O 0.500 0.000 0.000
Al 0.500 0.500 0.500

raw formation energy = -370 meV/atom

=====

First-principles (PBE-GGA) data for an optimized crystal structure of SrPm2Cu2Ge2, as listed in Alexandria via LeMat-Bulk.

Cell: 4.424 4.424 10.167 Å, 77.44 77.44 60.00°
Fractional coordinates of all 7 atoms:
Ge 0.256 0.256 0.232
Ge 0.744 0.744 0.768
Cu 0.592 0.592 0.225
Cu 0.408 0.408 0.775
Sr 0.000 0.000 0.000
Pm 0.872 0.872 0.384
Pm 0.128 0.128 0.616

calculated formation energy = -0.4573 eV per atom

=====

First-principles (PBE-GGA) data for an optimized crystal structure of BeInTc2, as listed in Alexandria via LeMat-Bulk.

Cell: 5.008 5.008 5.008 Å, 143.45 127.95 65.28°
Fractional coordinates of all 4 atoms:
Be 0.512 0.512 0.000
Tc 0.731 0.231 0.500
Tc 0.991 0.991 0.000
In 0.266 0.766 0.500

calculated formation energy = 0.2849 eV per atom
distance to the lowest polymorph of the same formula = 28.6 kJ/mol of atoms

=====

First-principles (PBE-GGA) data for an optimized crystal structure of Tl5Pb3F12, as listed in Alexandria via LeMat-Bulk.

Cell: 12.992 12.992 12.992 Å, 109.47 109.47 109.47°
Fractional coordinates of all 80 atoms:
Pb 0.250 0.125 0.375
Pb 0.625 0.250 0.375
Pb 0.750 0.375 0.125
Pb 0.875 0.125 0.250
Pb 0.250 0.625 0.875
Pb 0.375 0.625 0.250
Pb 0.125 0.250 0.875
Pb 0.750 0.875 0.625
Pb 0.875 0.750 0.125
Pb 0.375 0.750 0.625
Pb 0.125 0.875 0.750
Pb 0.625 0.375 0.750
F 0.734 0.135 0.066
F 0.234 0.566 0.635
F 0.234 0.668 0.099
F 0.401 0.266 0.332
F 0.434 0.766 0.865
F 0.832 0.901 0.266
F 0.635 0.066 0.234
F 0.668 0.234 0.599
F 0.569 0.635 0.401
F 0.431 0.066 0.332
F 0.566 0.332 0.931
F 0.599 0.734 0.668
F 0.635 0.569 0.901
F 0.901 0.832 0.766
F 0.099 0.931 0.365
F 0.766 0.434 0.365
F 0.734 0.599 0.168
F 0.931 0.099 0.865
F 0.434 0.668 0.069
F 0.566 0.234 0.135
F 0.931 0.832 0.566
F 0.069 0.901 0.135
F 0.066 0.635 0.734
F 0.599 0.865 0.431
F 0.099 0.168 0.234
F 0.901 0.069 0.635
F 0.069 0.168 0.434
F 0.066 0.431 0.832
F 0.168 0.069 0.934
F 0.934 0.365 0.266
F 0.332 0.566 0.431
F 0.135 0.401 0.069
F 0.266 0.865 0.934
F 0.865 0.599 0.931
F 0.766 0.332 0.901
F 0.431 0.365 0.599
F 0.135 0.734 0.566
F 0.865 0.266 0.434
F 0.832 0.931 0.066
F 0.934 0.569 0.168
F 0.668 0.434 0.569
F 0.365 0.934 0.766
F 0.401 0.135 0.569
F 0.332 0.766 0.401
F 0.168 0.099 0.734
F 0.569 0.934 0.668
F 0.266 0.401 0.832
F 0.365 0.431 0.099
Tl 0.000 0.000 0.500
Tl 0.875 0.625 0.750
Tl 0.375 0.250 0.125
Tl 0.000 0.500 0.000
Tl 0.750 0.625 0.375
Tl 0.500 0.000 0.500
Tl 0.750 0.125 0.875
Tl 0.250 0.875 0.125
Tl 0.625 0.875 0.250
Tl 0.625 0.750 0.875
Tl 0.500 0.500 0.500
Tl 0.500 0.000 0.000
Tl 0.375 0.125 0.750
Tl 0.125 0.375 0.250
Tl 0.000 0.000 0.000
Tl 0.125 0.750 0.375
Tl 0.875 0.250 0.625
Tl 0.250 0.375 0.625
Tl 0.000 0.500 0.500
Tl 0.500 0.500 0.000

distance to the lowest polymorph of the same formula = 8.0 kJ/mol of atoms
raw formation energy = -1907 meV/atom

=====

First-principles (PBE-GGA) data for an optimized crystal structure of La2ZnPt6, as listed in Alexandria via LeMat-Bulk.

Cell: 6.159 5.715 5.715 Å, 60.00 90.00 90.00°
Fractional coordinates of all 9 atoms:
Zn 0.000 0.000 0.000
La 0.162 0.333 0.333
La 0.838 0.667 0.667
Pt 0.314 0.828 0.344
Pt 0.686 0.656 0.172
Pt 0.686 0.172 0.656
Pt 0.314 0.344 0.828
Pt 0.686 0.172 0.172
Pt 0.314 0.828 0.828

calculated formation energy = -0.9025 eV per atom